(1)
Pm7Nd12Pb | PBE | optimized geometry

Values from the calculation:
Space-group type ... R-3
ΔH_f (0 K) ... 10.9 kJ per mole of atoms

Cell: 8.860 8.860 8.860 Å, 89.20 89.20 89.20°
Positions (direct):
Pm 0.853 0.618 0.935
Nd 0.876 0.266 0.740
Pm 0.935 0.853 0.618
Nd 0.501 0.619 0.143
Nd 0.266 0.740 0.876
Nd 0.260 0.124 0.734
Pm 0.382 0.065 0.147
Pb 0.000 0.000 0.000
Pm 0.065 0.147 0.382
Nd 0.740 0.876 0.266
Nd 0.143 0.501 0.619
Nd 0.499 0.381 0.857
Nd 0.857 0.499 0.381
Nd 0.124 0.734 0.260
Pm 0.147 0.382 0.065
Pm 0.618 0.935 0.853
Nd 0.734 0.260 0.124
Nd 0.619 0.143 0.501
Pm 0.500 0.500 0.500
Nd 0.381 0.857 0.499

***

(2)
Pm4Nd3Pb4 | PBE | optimized geometry

Values from the calculation:
Space-group type ... Immm
ΔH_f (0 K) ... -38.9 kJ per mole of atoms

Cell: 3.697 9.922 11.054 Å, 116.67 99.63 90.00°
Positions (direct):
Nd 0.092 0.092 0.183
Pm 0.664 0.842 0.328
Pb 0.500 0.776 0.000
Pm 0.664 0.486 0.328
Pb 0.272 0.772 0.545
Nd 0.000 0.500 0.000
Pb 0.500 0.224 0.000
Pm 0.336 0.158 0.672
Pb 0.728 0.228 0.455
Pm 0.336 0.514 0.672
Nd 0.908 0.908 0.817

***

(3)
PmPrNdPb | PBE | optimized geometry

Values from the calculation:
Space-group type ... F-43m
ΔH_f (0 K) ... -14.2 kJ per mole of atoms

Cell: 5.637 5.637 5.637 Å, 60.00 60.00 60.00°
Positions (direct):
Pr 0.750 0.750 0.750
Pm 0.250 0.250 0.250
Pb 0.000 0.000 0.000
Nd 0.500 0.500 0.500

***

(4)
Pm3Pr6Nd2Pb | PBE | optimized geometry

Values from the calculation:
Space-group type ... C2/m
ΔH_f (0 K) ... -5.8 kJ per mole of atoms

Cell: 6.322 6.322 12.136 Å, 95.05 95.05 120.15°
Positions (direct):
Nd 0.334 0.666 0.000
Pm 0.831 0.169 0.500
Pr 0.917 0.593 0.752
Pr 0.760 0.760 0.250
Nd 0.666 0.334 0.000
Pr 0.407 0.083 0.248
Pm 0.169 0.831 0.500
Pr 0.083 0.407 0.248
Pr 0.593 0.917 0.752
Pb 0.000 0.000 0.000
Pm 0.500 0.500 0.500
Pr 0.240 0.240 0.750

***

(5)
PmNdRhPb | PBE | optimized geometry

Values from the calculation:
Space-group type ... F-43m
ΔH_f (0 K) ... -42.6 kJ per mole of atoms

Cell: 5.300 5.300 5.300 Å, 60.00 60.00 60.00°
Positions (direct):
Rh 0.500 0.500 0.500
Nd 0.750 0.750 0.750
Pb 0.000 0.000 0.000
Pm 0.250 0.250 0.250

***

(6)
PmNdSbPb | PBE | optimized geometry

Values from the calculation:
Space-group type ... F-43m
Uncorrected energy ... -4.94 eV per atom

Cell: 5.540 5.540 5.540 Å, 60.00 60.00 60.00°
Positions (direct):
Pb 0.500 0.500 0.500
Pm 0.750 0.750 0.750
Sb 0.000 0.000 0.000
Nd 0.250 0.250 0.250

***

(7)
PmNdScPb | PBE | optimized geometry

Values from the calculation:
Space-group type ... F-43m
ΔH_f (0 K) ... -13.8 kJ per mole of atoms

Cell: 5.509 5.509 5.509 Å, 60.00 60.00 60.00°
Positions (direct):
Pb 0.500 0.500 0.500
Pm 0.250 0.250 0.250
Sc 0.000 0.000 0.000
Nd 0.750 0.750 0.750

***

(8)
PmNdPbSe | PBE | optimized geometry

Values from the calculation:
Space-group type ... P4/mmm
Uncorrected energy ... -5.37 eV per atom

Cell: 4.403 4.406 6.244 Å, 90.03 90.00 90.00°
Positions (direct):
Pm 0.500 0.391 0.092
Nd 0.000 0.892 0.592
Pb 0.000 0.891 0.092
Se 0.500 0.392 0.592

***

(9)
Pm2Nd6Sm3Pb | PBE | optimized geometry

Values from the calculation:
Space-group type ... C2/m
ΔH_f (0 K) ... -5.6 kJ per mole of atoms

Cell: 6.276 6.276 12.042 Å, 95.03 95.03 120.11°
Positions (direct):
Nd 0.759 0.759 0.250
Pb 0.000 0.000 0.000
Nd 0.917 0.592 0.752
Sm 0.169 0.831 0.500
Sm 0.831 0.169 0.500
Nd 0.083 0.408 0.248
Nd 0.592 0.917 0.752
Nd 0.408 0.083 0.248
Sm 0.500 0.500 0.500
Nd 0.241 0.241 0.750
Pm 0.666 0.334 0.000
Pm 0.334 0.666 0.000

***

(10)
Pm6Nd3Sm2Pb | PBE | optimized geometry

Values from the calculation:
Space-group type ... C2/m
ΔH_f (0 K) ... -5.5 kJ per mole of atoms

Cell: 6.272 6.272 11.995 Å, 95.07 95.07 120.13°
Positions (direct):
Pm 0.406 0.082 0.246
Sm 0.334 0.666 0.000
Nd 0.170 0.830 0.500
Pm 0.918 0.594 0.754
Pb 0.000 0.000 0.000
Nd 0.500 0.500 0.500
Pm 0.243 0.243 0.752
Nd 0.830 0.170 0.500
Pm 0.757 0.757 0.248
Pm 0.082 0.406 0.246
Sm 0.666 0.334 0.000
Pm 0.594 0.918 0.754

***

(11)
PmNdSnPb | PBE | optimized geometry

Values from the calculation:
Space-group type ... F-43m
ΔH_f (0 K) ... -48.8 kJ per mole of atoms
Relative energy among the computed polymorphs ... 15.7 kJ per mole of atoms

Cell: 5.535 5.535 5.535 Å, 60.00 60.00 60.00°
Positions (direct):
Sn 0.250 0.250 0.250
Nd 0.500 0.500 0.500
Pm 0.000 0.000 0.000
Pb 0.750 0.750 0.750

***

(12)
PmNdSnPb | PBE | optimized geometry

Values from the calculation:
Space-group type ... Amm2
ΔH_f (0 K) ... -64.5 kJ per mole of atoms
Relative energy among the computed polymorphs ... 0.0 kJ per mole of atoms

Cell: 4.651 4.462 6.360 Å, 90.00 111.45 90.00°
Positions (direct):
Pb 0.407 0.000 0.814
Pm 0.866 0.500 0.732
Nd 0.134 0.000 0.267
Sn 0.594 0.500 0.187

***

In the order shown, the computed size of the total moment values come out to 0.001 0.001 0.002 0.000 0.000 0.001 1.098 0.000 0.000 0.000 0.003 0.000 μB/f.u..